(1)
Compound: GaAsOs2
Source: Alexandria
Functional: PBE
Structure: optimized geometry

Unit cell a=6.6460 b=6.6460 c=6.6460 alpha=129.51 beta=129.51 gamma=74.20
Closest atoms and distances in Å follow each position.
Element x y z (fractional)
Ga: 0.0000 0.0000 0.0000  4 Os 2.45
Ga: 0.7500 0.2500 0.5000  4 Os 2.45
As: 0.2500 0.7500 0.5000  4 Os 2.36
As: 0.5000 0.5000 0.0000  4 Os 2.36
Os: 0.1375 0.6250 0.0125  2 As 2.36, 2 Ga 2.45
Os: 0.3750 0.3875 0.5125  2 As 2.36, 2 Ga 2.45
Os: 0.6125 0.1250 0.9875  2 As 2.36, 2 Ga 2.45
Os: 0.8750 0.8625 0.4875  2 As 2.36, 2 Ga 2.45

Calculated values
Energy relative to the elements ... 998 meV/atom
Electronic total energy ... -6.536 eV per atom
Space group ... I-42d
Energy above the most stable polymorph in this dataset ... 781 meV per atom



(2)
Compound: CrCoTc2Ge
Source: Alexandria
Functional: PBE
Structure: optimized geometry

Unit cell a=4.4307 b=4.4307 c=4.2209 alpha=90.00 beta=90.00 gamma=90.00
Closest atoms and distances in Å follow each position.
Element x y z (fractional)
Cr: 0.0000 0.0000 0.0000  2 Co 2.11, 4 Tc 2.22
Co: 0.0000 0.0000 0.5000  2 Cr 2.11
Tc: 0.0000 0.5000 0.0000  2 Cr 2.22
Tc: 0.5000 0.0000 0.0000  2 Cr 2.22
Ge: 0.5000 0.5000 0.5000  8 Tc 3.06, 4 Co 3.13

Calculated values
Energy relative to the elements ... 1197 meV/atom
Electronic total energy ... -7.218 eV per atom
Space group ... P4/mmm



(3)
Compound: Rb3PtAu
Source: Alexandria
Functional: PBE
Structure: optimized geometry

Unit cell a=10.5221 b=5.7513 c=13.7161 alpha=90.00 beta=105.59 gamma=90.00
Closest atoms and distances in Å follow each position.
Element x y z (fractional)
Rb: 0.0082 0.0013 0.3591  2 Pt 3.27, 1 Au 3.48
Rb: 0.0082 0.4987 0.8591  2 Pt 3.27, 1 Au 3.48
Rb: 0.2742 0.5011 0.4172  1 Pt 3.28, 2 Au 3.62
Rb: 0.2742 0.9989 0.9172  1 Pt 3.28, 2 Au 3.62
Rb: 0.3686 0.9997 0.6402  3 Au 3.55-3.60, 1 Rb 3.97
Rb: 0.3686 0.5003 0.1402  3 Au 3.55-3.60, 1 Rb 3.97
Rb: 0.6314 0.0003 0.3598  3 Au 3.55-3.60, 1 Rb 3.97
Rb: 0.6314 0.4997 0.8598  3 Au 3.55-3.60, 1 Rb 3.97
Rb: 0.7258 0.0011 0.0828  1 Pt 3.28, 2 Au 3.62
Rb: 0.7258 0.4989 0.5828  1 Pt 3.28, 2 Au 3.62
Rb: 0.9918 0.5013 0.1409  2 Pt 3.27, 1 Au 3.48
Rb: 0.9918 0.9987 0.6409  2 Pt 3.27, 1 Au 3.48
Pt: 0.0967 0.0012 0.0801  1 Pt 2.56, 1 Au 2.67
Pt: 0.0967 0.4988 0.5801  1 Pt 2.56, 1 Au 2.67
Pt: 0.9033 0.5012 0.4199  1 Pt 2.56, 1 Au 2.67
Pt: 0.9033 0.9988 0.9199  1 Pt 2.56, 1 Au 2.67
Au: 0.2782 0.0012 0.2582  1 Pt 2.67
Au: 0.2782 0.4988 0.7582  1 Pt 2.67
Au: 0.7218 0.5012 0.2418  1 Pt 2.67
Au: 0.7218 0.9988 0.7418  1 Pt 2.67

Calculated values
Energy relative to the elements ... -124 meV/atom
Electronic total energy ... -2.568 eV per atom
Space group ... P2_1/c
Energy above the most stable polymorph in this dataset ... 0 meV per atom



(4)
Compound: CaSm4Y15
Source: Alexandria
Functional: PBE
Structure: optimized geometry

Unit cell a=5.0906 b=5.0906 c=25.4664 alpha=90.00 beta=90.00 gamma=90.00
Closest atoms and distances in Å follow each position.
Element x y z (fractional)
Ca: 0.0000 0.0000 0.0000  12 Y 3.60-3.67
Sm: 0.0000 0.0000 0.2012  12 Y 3.55-3.60
Sm: 0.0000 0.0000 0.4005  12 Y 3.59-3.60
Sm: 0.0000 0.0000 0.5995  12 Y 3.59-3.60
Sm: 0.0000 0.0000 0.7988  12 Y 3.55-3.60
Y: 0.0000 0.5000 0.1040  8 Y 3.54-3.67, 2 Sm 3.55, 2 Ca 3.67
Y: 0.0000 0.5000 0.3013  8 Y 3.58-3.61, 4 Sm 3.59-3.60
Y: 0.0000 0.5000 0.5000  4 Sm 3.59, 8 Y 3.59-3.60
Y: 0.0000 0.5000 0.6987  8 Y 3.58-3.61, 4 Sm 3.59-3.60
Y: 0.0000 0.5000 0.8960  8 Y 3.54-3.67, 2 Sm 3.55, 2 Ca 3.67
Y: 0.5000 0.0000 0.1040  8 Y 3.54-3.67, 2 Sm 3.55, 2 Ca 3.67
Y: 0.5000 0.0000 0.3013  8 Y 3.58-3.61, 4 Sm 3.59-3.60
Y: 0.5000 0.0000 0.5000  4 Sm 3.59, 8 Y 3.59-3.60
Y: 0.5000 0.0000 0.6987  8 Y 3.58-3.61, 4 Sm 3.59-3.60
Y: 0.5000 0.0000 0.8960  8 Y 3.54-3.67, 2 Sm 3.55, 2 Ca 3.67
Y: 0.5000 0.5000 0.0000  4 Ca 3.60, 8 Y 3.67
Y: 0.5000 0.5000 0.2006  8 Y 3.54-3.61, 4 Sm 3.60
Y: 0.5000 0.5000 0.4003  8 Y 3.58-3.59, 4 Sm 3.60
Y: 0.5000 0.5000 0.5997  8 Y 3.58-3.59, 4 Sm 3.60
Y: 0.5000 0.5000 0.7994  8 Y 3.54-3.61, 4 Sm 3.60

Calculated values
Energy relative to the elements ... 40 meV/atom
Electronic total energy ... -5.852 eV per atom
Space group ... P4/mmm



What did the fourth record say?
Compound: CaSm4Y15
Source: Alexandria
Functional: PBE
Structure: optimized geometry

Unit cell a=5.0906 b=5.0906 c=25.4664 alpha=90.00 beta=90.00 gamma=90.00
Closest atoms and distances in Å follow each position.
Element x y z (fractional)
Ca: 0.0000 0.0000 0.0000  12 Y 3.60-3.67
Sm: 0.0000 0.0000 0.2012  12 Y 3.55-3.60
Sm: 0.0000 0.0000 0.4005  12 Y 3.59-3.60
Sm: 0.0000 0.0000 0.5995  12 Y 3.59-3.60
Sm: 0.0000 0.0000 0.7988  12 Y 3.55-3.60
Y: 0.0000 0.5000 0.1040  8 Y 3.54-3.67, 2 Sm 3.55, 2 Ca 3.67
Y: 0.0000 0.5000 0.3013  8 Y 3.58-3.61, 4 Sm 3.59-3.60
Y: 0.0000 0.5000 0.5000  4 Sm 3.59, 8 Y 3.59-3.60
Y: 0.0000 0.5000 0.6987  8 Y 3.58-3.61, 4 Sm 3.59-3.60
Y: 0.0000 0.5000 0.8960  8 Y 3.54-3.67, 2 Sm 3.55, 2 Ca 3.67
Y: 0.5000 0.0000 0.1040  8 Y 3.54-3.67, 2 Sm 3.55, 2 Ca 3.67
Y: 0.5000 0.0000 0.3013  8 Y 3.58-3.61, 4 Sm 3.59-3.60
Y: 0.5000 0.0000 0.5000  4 Sm 3.59, 8 Y 3.59-3.60
Y: 0.5000 0.0000 0.6987  8 Y 3.58-3.61, 4 Sm 3.59-3.60
Y: 0.5000 0.0000 0.8960  8 Y 3.54-3.67, 2 Sm 3.55, 2 Ca 3.67
Y: 0.5000 0.5000 0.0000  4 Ca 3.60, 8 Y 3.67
Y: 0.5000 0.5000 0.2006  8 Y 3.54-3.61, 4 Sm 3.60
Y: 0.5000 0.5000 0.4003  8 Y 3.58-3.59, 4 Sm 3.60
Y: 0.5000 0.5000 0.5997  8 Y 3.58-3.59, 4 Sm 3.60
Y: 0.5000 0.5000 0.7994  8 Y 3.54-3.61, 4 Sm 3.60

Calculated values
Energy relative to the elements ... 40 meV/atom
Electronic total energy ... -5.852 eV per atom
Space group ... P4/mmm



The highest energy relative to the elements belongs to which entry?
CrCoTc2Ge



Which value of electronic total energy does entry 1 give?
-6.536 eV per atom



What is the electronic total energy in the first record?
-6.536 eV per atom